Entry 1:
DFT (GGA-PBE) results for crystalline HfInPd3 at its relaxed geometry.

Computed properties:
D(E_F) in states/eV/cell: 2.7
Energy of formation in meV/atom: 399.9
E above lowest polymorph in eV per formula unit: 4.96

a b c (Å): 4.9276 4.9276 4.9276
angles (deg): 90.00 90.00 90.00
Fractional positions:
Hf 0.0000 0.0000 0.0000
In 0.5000 0.5000 0.5000
Pd 0.0000 0.0000 0.5000
Pd 0.0000 0.5000 0.0000
Pd 0.5000 0.0000 0.0000

***

Entry 2:
DFT (GGA-PBE) results for crystalline RePPt2 at its relaxed geometry.

Computed properties:
D(E_F) in states/eV/cell: 3.3
Energy of formation in meV/atom: 85.4
E above lowest polymorph in eV per formula unit: 0.70

a b c (Å): 2.7982 2.7982 7.7426
angles (deg): 90.00 90.00 90.00
Fractional positions:
Re 0.0000 0.0000 0.0000
P 0.0000 0.0000 0.5000
Pt 0.5000 0.5000 0.2467
Pt 0.5000 0.5000 0.7533

***

Entry 3:
DFT (GGA-PBE) results for crystalline Li2PbI at its relaxed geometry.

Computed properties:
D(E_F) in states/eV/cell: 2.0
E above lowest polymorph in eV per formula unit: 0.52

a b c (Å): 6.5562 6.5562 6.5562
angles (deg): 108.15 108.15 112.15
Fractional positions:
Li 0.0993 0.1250 0.4743
Li 0.3750 0.9007 0.0257
Li 0.6507 0.6250 0.5257
Li 0.8750 0.3493 0.9743
Pb 0.2500 0.7500 0.5000
Pb 0.5000 0.5000 0.0000
I 0.0000 0.0000 0.0000
I 0.7500 0.2500 0.5000

***

Entry 4:
DFT (GGA-PBE) results for crystalline PmUPd14 at its relaxed geometry.

Computed properties:
D(E_F) in states/eV/cell: 16.8
Energy of formation in meV/atom: -361.9

a b c (Å): 5.8431 5.8431 7.7949
angles (deg): 90.00 90.00 90.00
Fractional positions:
Pm 0.0000 0.0000 0.0000
U 0.5000 0.5000 0.0000
Pd 0.0000 0.0000 0.5000
Pd 0.0000 0.5000 0.0000
Pd 0.0000 0.5000 0.5000
Pd 0.2572 0.2572 0.2540
Pd 0.2572 0.2572 0.7460
Pd 0.2572 0.7428 0.2540
Pd 0.2572 0.7428 0.7460
Pd 0.5000 0.0000 0.0000
Pd 0.5000 0.0000 0.5000
Pd 0.5000 0.5000 0.5000
Pd 0.7428 0.2572 0.2540
Pd 0.7428 0.2572 0.7460
Pd 0.7428 0.7428 0.2540
Pd 0.7428 0.7428 0.7460